# 1
DFT (PBE) results for crystalline PuZrPd4 at its relaxed geometry.

Lattice parameters (Å, degrees): 5.383 5.383 5.383 60.00 60.00 60.00
Atoms (fractional coordinates):
Pu1 0.000 0.000 0.000
Zr1 0.250 0.250 0.250
Pd1 0.125 0.625 0.625
Pd2 0.625 0.125 0.625
Pd3 0.625 0.625 0.125
Pd4 0.625 0.625 0.625

Output
As for the energy of formation: -0.491 eV/atom.

# 2
DFT (PBE) results for crystalline PuZr4Pd5 at its relaxed geometry.

Lattice parameters (Å, degrees): 3.395 3.395 16.983 90.00 90.00 90.00
Atoms (fractional coordinates):
Pu1 0.000 0.000 0.000
Zr1 0.000 0.000 0.210
Zr2 0.000 0.000 0.404
Zr3 0.000 0.000 0.596
Zr4 0.000 0.000 0.790
Pd1 0.500 0.500 0.121
Pd2 0.500 0.500 0.306
Pd3 0.500 0.500 0.500
Pd4 0.500 0.500 0.694
Pd5 0.500 0.500 0.879

Output
As for the energy of formation: -0.548 eV/atom.

Number 1: uncorrected energy -46.60 eV per formula unit, magnetization 6.1 μB/f.u.. Number 2: uncorrected energy -79.97 eV per formula unit, magnetization 5.9 μB/f.u..